[1]
First-principles (PBE+U) data for a relaxed structure of PrMn2TcO6, as listed in Alexandria.

Its volume is 161.9 Å³ per cell. The value obtained for the total energy is -7.68 eV/atom.

It has space group P4mm (No. 99), with a = 5.627 Å, b = 5.627 Å, c = 5.112 Å, α = 90.00°, β = 90.00° and γ = 90.00°. Symmetry generates all atoms from Pr at (0.000, 0.000, 0.000), Mn at (0.000, 0.500, 0.361), Tc at (0.500, 0.500, 0.031), O at (0.000, 0.000, 0.572), O at (0.274, 0.274, 0.186) and O at (0.500, 0.500, 0.697).

[2]
First-principles (PBE+U) data for a relaxed structure of Pr2MnTlO6, as listed in Alexandria.

Its volume is 281.7 Å³ per cell. The value obtained for the total energy is -7.14 eV/atom.

It has space group P2_1/c (No. 14), with a = 5.620 Å, b = 6.169 Å, c = 9.763 Å, α = 90.00°, β = 123.68° and γ = 90.00°. Symmetry generates all atoms from Pr at (0.224, 0.077, 0.243), Mn at (0.500, 0.000, 0.000), Tl at (0.000, 0.000, 0.500), O at (0.160, 0.166, 0.949), O at (0.237, 0.688, 0.928) and O at (0.396, 0.049, 0.773).

[3]
First-principles (PBE+U) data for a relaxed structure of PrUMn2O8, as listed in Alexandria.

Its volume is 309.8 Å³ per cell. The value obtained for the total energy is -8.14 eV/atom.

It has space group I-4 (No. 82), with a = 5.262 Å, b = 5.262 Å, c = 11.191 Å, α = 90.00°, β = 90.00° and γ = 90.00°. Symmetry generates all atoms from Pr at (0.000, 0.000, 0.000), U at (0.000, 0.500, 0.750), Mn at (0.000, 0.000, 0.500), Mn at (0.000, 0.500, 0.250), O at (0.145, 0.271, 0.577) and O at (0.185, 0.790, 0.190).

[4]
First-principles (PBE+U) data for a relaxed structure of Mn2Pt2O5, as listed in Alexandria.

Its volume is 110.6 Å³ per cell. The value obtained for the total energy is -6.24 eV/atom.

It has space group P4/mmm (No. 123), with a = 3.560 Å, b = 3.560 Å, c = 8.729 Å, α = 90.00°, β = 90.00° and γ = 90.00°. Symmetry generates all atoms from Mn at (0.000, 0.000, 0.237), Pt at (0.500, 0.500, 0.000), Pt at (0.500, 0.500, 0.500), O at (0.000, 0.000, 0.000) and O at (0.000, 0.500, 0.362).

[5]
First-principles (PBE+U) data for a relaxed structure of MnPtO4, as listed in Alexandria.

Its volume is 127.9 Å³ per cell. The value obtained for the total energy is -6.44 eV/atom.

It has space group P2_1/c (No. 14), with a = 5.432 Å, b = 4.620 Å, c = 5.451 Å, α = 90.00°, β = 110.72° and γ = 90.00°. Symmetry generates all atoms from Mn at (0.000, 0.000, 0.000), Pt at (0.500, 0.000, 0.500), O at (0.133, 0.171, 0.351) and O at (0.358, 0.657, 0.629).

[6]
First-principles (PBE+U) data for a relaxed structure of Mn2PtO, as listed in Alexandria.

Its volume is 260.3 Å³ per cell. The value obtained for the total energy is -7.10 eV/atom.

It has space group I-42d (No. 122), with a = 6.138 Å, b = 6.138 Å, c = 6.908 Å, α = 90.00°, β = 90.00° and γ = 90.00°. Symmetry generates all atoms from Mn at (0.172, 0.750, 0.125), Pt at (0.000, 0.000, 0.500) and O at (0.000, 0.000, 0.000).